No. 1
The following is a DFT calculation (PBE) of a relaxed CaPu2CoN4 crystal.

Lattice parameters (Å, degrees): 3.430 11.301 11.406 90.00 90.00 90.00
Space group Cmcm (No. 63)
Inequivalent atoms, fractional coordinates:
Ca1 0.000 0.096 0.250
Pu1 0.000 0.369 0.057
Co1 0.000 0.169 0.750
N1 0.000 0.000 0.000
N2 0.000 0.259 0.606
N3 0.000 0.432 0.250


No. 2
The following is a DFT calculation (PBE) of a relaxed Ca2CoReN4 crystal.

Lattice parameters (Å, degrees): 6.836 5.826 5.635 90.00 90.00 90.00
Space group Pmn2_1 (No. 31)
Inequivalent atoms, fractional coordinates:
Ca1 0.250 0.237 0.000
Co1 0.000 0.220 0.480
Re1 0.000 0.790 0.982
N1 0.000 0.016 0.750
N2 0.000 0.966 0.256
N3 0.240 0.639 0.955


No. 3
The following is a DFT calculation (PBE) of a relaxed Ca2CoRhN crystal.

Lattice parameters (Å, degrees): 4.994 4.994 3.477 90.00 90.00 90.00
Space group P4/mmm (No. 123)
Inequivalent atoms, fractional coordinates:
Ca1 0.000 0.500 0.000
Co1 0.000 0.000 0.500
Rh1 0.500 0.500 0.500
N1 0.000 0.000 0.000


No. 4
The following is a DFT calculation (PBE) of a relaxed CaCoS2N crystal.

Energy relative to the lowest polymorph listed for this composition ... 0.0 meV per atom

Lattice parameters (Å, degrees): 4.818 4.818 3.450 90.00 90.00 90.00
Space group P4/mmm (No. 123)
Inequivalent atoms, fractional coordinates:
Ca1 0.000 0.000 0.000
Co1 0.500 0.500 0.500
S1 0.000 0.500 0.500
N1 0.500 0.500 0.000


No. 5
The following is a DFT calculation (PBE) of a relaxed CaCoS2N crystal.

Energy relative to the lowest polymorph listed for this composition ... 1641.0 meV per atom

Lattice parameters (Å, degrees): 5.268 5.268 4.457 90.00 90.00 90.00
Space group P4/mmm (No. 123)
Inequivalent atoms, fractional coordinates:
Ca1 0.000 0.000 0.000
Co1 0.500 0.500 0.500
S1 0.000 0.500 0.000
N1 0.000 0.000 0.500


No. 6
The following is a DFT calculation (PBE) of a relaxed CaCoSe2N crystal.

Energy relative to the lowest polymorph listed for this composition ... 1664.4 meV per atom

Lattice parameters (Å, degrees): 5.402 5.402 4.279 90.00 90.00 90.00
Space group P4/mmm (No. 123)
Inequivalent atoms, fractional coordinates:
Ca1 0.000 0.000 0.000
Co1 0.500 0.500 0.500
Se1 0.000 0.500 0.000
N1 0.000 0.000 0.500


No. 7
The following is a DFT calculation (PBE) of a relaxed CaCoSeN2 crystal.

Energy relative to the lowest polymorph listed for this composition ... 0.0 meV per atom

Lattice parameters (Å, degrees): 3.820 3.820 5.057 90.00 90.00 90.00
Space group P4/mmm (No. 123)
Inequivalent atoms, fractional coordinates:
Ca1 0.000 0.000 0.000
Co1 0.500 0.500 0.500
Se1 0.500 0.500 0.000
N1 0.000 0.500 0.500


No. 8
The following is a DFT calculation (PBE) of a relaxed CaCoSeN2 crystal.

Energy relative to the lowest polymorph listed for this composition ... 1404.6 meV per atom

Lattice parameters (Å, degrees): 4.427 4.427 5.863 90.00 90.00 90.00
Space group P4/mmm (No. 123)
Inequivalent atoms, fractional coordinates:
Ca1 0.000 0.000 0.000
Co1 0.500 0.500 0.500
Se1 0.000 0.000 0.500
N1 0.000 0.500 0.000


No. 9
The following is a DFT calculation (PBE) of a relaxed CaCoSe2N crystal.

Energy relative to the lowest polymorph listed for this composition ... 0.0 meV per atom

Lattice parameters (Å, degrees): 5.100 5.100 3.455 90.00 90.00 90.00
Space group P4/mmm (No. 123)
Inequivalent atoms, fractional coordinates:
Ca1 0.000 0.000 0.000
Co1 0.500 0.500 0.500
Se1 0.000 0.500 0.500
N1 0.500 0.500 0.000


No. 10
The following is a DFT calculation (PBE) of a relaxed SrCaCoN2 crystal.

Lattice parameters (Å, degrees): 5.575 5.099 6.833 90.00 90.07 90.00
Space group P2/c (No. 13)
Inequivalent atoms, fractional coordinates:
Sr1 0.000 0.000 0.250
Ca1 0.500 0.500 0.250
Co1 0.500 0.000 0.000
N1 0.280 0.242 0.000


No. 11
The following is a DFT calculation (PBE) of a relaxed CaTa2CoN4 crystal.

Lattice parameters (Å, degrees): 3.103 10.675 10.862 90.00 90.00 90.00
Space group Cmcm (No. 63)
Inequivalent atoms, fractional coordinates:
Ca1 0.000 0.109 0.250
Ta1 0.000 0.369 0.057
Co1 0.000 0.159 0.750
N1 0.000 0.000 0.000
N2 0.000 0.270 0.608
N3 0.000 0.442 0.250


No. 12
The following is a DFT calculation (PBE) of a relaxed CaCoTeN2 crystal.

Energy relative to the lowest polymorph listed for this composition ... 1066.4 meV per atom

Lattice parameters (Å, degrees): 4.429 4.429 6.457 90.00 90.00 90.00
Space group P4/mmm (No. 123)
Inequivalent atoms, fractional coordinates:
Ca1 0.000 0.000 0.000
Co1 0.500 0.500 0.500
Te1 0.000 0.000 0.500
N1 0.000 0.500 0.000


Number 1: E_form (uncorrected) -0.915 eV per atom. Number 2: E_form (uncorrected) -0.522 eV per atom. Number 3: E_form (uncorrected) -0.392 eV per atom. Number 4: E_form (uncorrected) -0.437 eV per atom. Number 5: E_form (uncorrected) 1.204 eV per atom. Number 6: E_form (uncorrected) 1.253 eV per atom. Number 7: E_form (uncorrected) 0.291 eV per atom. Number 8: E_form (uncorrected) 1.696 eV per atom. Number 9: E_form (uncorrected) -0.411 eV per atom. Number 10: E_form (uncorrected) -0.404 eV per atom. Number 11: E_form (uncorrected) -0.940 eV per atom. Number 12: E_form (uncorrected) 1.658 eV per atom.